(1)
# Tm3HfCd2C2

Tm3HfCd2C2 after structural relaxation (PBE-GGA, OQMD).

a = 3.439 Å, b = 3.439 Å, c = 15.953 Å
α = 90.00°, β = 90.00°, γ = 120.00°
Atoms (fractional coordinates):
Tm (0.667, 0.333, 0.919)
Tm (0.333, 0.667, 0.414)
Tm (0.667, 0.333, 0.583)
C (0.000, 0.000, 0.012)
C (0.000, 0.000, 0.499)
Cd (0.667, 0.333, 0.238)
Cd (0.333, 0.667, 0.754)
Hf (0.333, 0.667, 0.080)

Values from the calculation:
Its total energy is -5.833 eV/atom. As for the space group: P3m1 (156).

(2)
# LuCoAgSn

LuCoAgSn after structural relaxation (PBE-GGA, OQMD).

a = 4.735 Å, b = 4.735 Å, c = 4.735 Å
α = 60.00°, β = 60.00°, γ = 60.00°
Atoms (fractional coordinates):
Ag (0.500, 0.500, 0.500)
Co (0.750, 0.750, 0.750)
Sn (0.000, 0.000, 0.000)
Lu (0.250, 0.250, 0.250)

Values from the calculation:
Its total energy is -4.673 eV/atom. The energy above the lowest structure with this stoichiometry comes out at 144.8 meV/atom. As for the space group: F-43m (216).

(3)
# BeCuPbW

BeCuPbW after structural relaxation (PBE-GGA, OQMD).

a = 4.496 Å, b = 4.496 Å, c = 4.496 Å
α = 60.00°, β = 60.00°, γ = 60.00°
Atoms (fractional coordinates):
W (0.250, 0.250, 0.250)
Cu (0.750, 0.750, 0.750)
Pb (0.000, 0.000, 0.000)
Be (0.500, 0.500, 0.500)

Values from the calculation:
Its total energy is -4.986 eV/atom. The energy above the lowest structure with this stoichiometry comes out at 35.0 meV/atom. As for the space group: F-43m (216).

(4)
# Tm2SnAu

Tm2SnAu after structural relaxation (PBE-GGA, OQMD).

a = 4.426 Å, b = 5.939 Å, c = 5.939 Å
α = 39.86°, β = 90.00°, γ = 90.00°
Atoms (fractional coordinates):
Tm (0.000, 0.861, 0.861)
Tm (0.500, 0.147, 0.147)
Sn (0.000, 0.584, 0.584)
Au (0.500, 0.409, 0.409)

Values from the calculation:
Its total energy is -4.828 eV/atom. As for the space group: Amm2 (38).